(1)
The following is a DFT calculation (PBE) of crystalline LiHg3Cl at its relaxed geometry.

Geometry as extended XYZ:
```
5
Lattice="-0.876 1.387 5.913 -5.831 -1.865 -0.426 1.700 -5.679 1.584" Properties=species:S:1:pos:R:3 pbc="T T T"
Hg -2.915 -0.932 -0.213
Hg -0.438 0.694 2.956
Hg 0.850 -2.840 0.792
Cl 0.000 0.000 0.000
Li -2.503 -3.078 3.536
```

The uncorrected formation energy comes out at 0.1034 eV per atom. The size of the total moment comes out at 0.00 μB per cell. For the total energy, the calculation gives -4.15 eV/cell. As for the symmetry: Pm-3m, No. 221. The calculation puts the density of states at the Fermi level at 0.42 states/eV/f.u.


(2)
The following is a DFT calculation (PBE) of crystalline TbHf2Zn at its relaxed geometry.

Geometry as extended XYZ:
```
4
Lattice="3.144 0.000 0.000 1.572 2.723 0.000 1.572 0.908 10.862" Properties=species:S:1:pos:R:3 pbc="T T T"
Tb 0.000 0.000 0.000
Hf 1.572 0.908 7.650
Hf 4.716 2.723 3.212
Zn 3.144 1.815 5.431
```

The size of the total moment comes out at 0.00 μB per cell. For the total energy, the calculation gives -24.63 eV/cell. The formation energy from the elements comes out at 6.8 kcal/mol of atoms. As for the symmetry: R-3m, No. 166. The calculation puts the density of states at the Fermi level at 3.86 states/eV/f.u.


(3)
The following is a DFT calculation (PBE) of crystalline BaYFeAu2 at its relaxed geometry.

Geometry as extended XYZ:
```
5
Lattice="-3.523 0.252 -4.288 1.038 -4.809 -1.136 -4.141 -1.674 3.304" Properties=species:S:1:pos:R:3 pbc="T T T"
Au -1.762 0.126 -2.144
Ba -3.313 -3.115 -1.060
Au -2.071 -0.837 1.652
Y 0.000 0.000 0.000
Fe 0.519 -2.405 -0.568
```

The size of the total moment comes out at 2.18 μB per cell. For the total energy, the calculation gives -22.60 eV/cell. The formation energy from the elements comes out at 3.7 kcal/mol of atoms. As for the symmetry: P4/mmm, No. 123. The calculation puts the density of states at the Fermi level at 5.83 states/eV/f.u.


(4)
The following is a DFT calculation (PBE) of crystalline MoPIr3 at its relaxed geometry.

Geometry as extended XYZ:
```
5
Lattice="4.402 0.000 0.000 0.000 4.402 0.000 0.000 0.000 4.402" Properties=species:S:1:pos:R:3 pbc="T T T"
Mo 2.201 2.201 2.201
Ir 2.201 0.000 0.000
P 0.000 0.000 0.000
Ir 0.000 2.201 0.000
Ir 0.000 0.000 2.201
```

The size of the total moment comes out at 3.95 μB per cell. For the total energy, the calculation gives -38.88 eV/cell. The formation energy from the elements comes out at 18.2 kcal/mol of atoms. As for the symmetry: Pm-3m, No. 221. The calculation puts the density of states at the Fermi level at 5.62 states/eV/f.u.


(5)
The following is a DFT calculation (PBE) of crystalline BeCr2As at its relaxed geometry.

Geometry as extended XYZ:
```
4
Lattice="7.552 -0.041 -0.024 7.063 2.673 -0.024 7.063 1.272 2.351" Properties=species:S:1:pos:R:3 pbc="T T T"
Cr 0.070 0.013 0.007
Be 16.258 2.928 1.727
As 5.419 0.976 0.576
Cr 10.769 1.939 1.144
```

The size of the total moment comes out at 0.00 μB per cell. For the total energy, the calculation gives -26.05 eV/cell. The formation energy from the elements comes out at 9.0 kcal/mol of atoms. As for the symmetry: R-3m, No. 166. The calculation puts the density of states at the Fermi level at 4.39 states/eV/f.u.


(6)
The following is a DFT calculation (PBE) of crystalline Mg3Te5S12 at its relaxed geometry.

Geometry as extended XYZ:
```
80
Lattice="14.183 0.000 0.000 -4.728 13.372 0.000 -4.728 -6.686 11.581" Properties=species:S:1:pos:R:3 pbc="T T T"
S 5.222 1.277 10.178
Mg 1.182 -0.836 4.343
S 2.858 4.833 0.405
S 2.858 7.963 1.402
S 1.240 0.963 6.195
Te -1.182 10.865 1.448
Mg 8.274 4.179 1.448
Te 4.728 6.686 0.000
Mg 3.546 0.000 8.685
S -1.869 0.576 9.774
S -1.240 5.145 9.722
Te -3.546 7.522 4.343
S 1.869 1.853 11.176
S 8.919 1.883 0.457
S -3.530 7.466 9.317
Te -1.182 0.836 7.238
S 5.222 -1.853 11.176
S -1.198 -0.993 5.334
Mg -1.182 5.850 7.238
S 1.827 8.692 4.388
S -1.166 0.780 2.264
S 1.166 8.458 7.597
S 3.488 5.723 5.385
S 1.198 4.914 7.597
Te 4.728 -3.343 5.790
S 1.869 -1.277 10.178
S 5.968 1.541 1.859
Mg 1.182 6.686 2.895
Te 1.182 -3.343 8.685
S -0.494 5.409 1.402
S -2.901 2.797 7.649
S 5.851 -0.963 6.195
S -5.264 9.483 3.931
Mg -5.910 6.686 8.685
S 0.537 4.680 4.388
Te -2.364 -3.343 5.790
S -2.901 -4.803 11.124
S 5.968 10.868 3.527
S 10.579 2.504 3.527
Mg 10.637 0.000 2.895
S 7.628 11.489 0.457
S -3.604 11.831 1.859
Te 2.364 3.343 5.790
S -5.222 -0.576 9.774
Mg -3.546 2.507 10.133
S 9.950 7.262 1.807
S 5.926 7.679 6.247
Te -2.364 6.686 0.000
S 9.992 -2.797 7.649
Te -1.182 3.343 2.895
S 5.894 5.906 9.317
Te 8.274 -0.836 7.238
Te 5.910 -4.179 10.133
S 8.332 -5.145 9.722
S -1.124 7.649 5.385
Mg 5.910 0.836 4.343
S 8.258 -0.780 2.264
Te 3.546 10.029 2.895
Te 5.910 5.850 4.343
S 3.562 -1.772 3.983
S 8.290 0.993 5.334
S -4.191 4.803 11.124
S -3.562 5.693 6.247
Mg -3.546 -2.507 10.133
S -5.851 4.182 8.054
S -0.494 8.539 0.405
Mg 3.546 7.522 7.238
S 3.530 1.772 3.983
Te -4.728 3.343 5.790
Te 7.092 0.000 0.000
S 4.191 2.006 7.192
Te 5.910 3.343 8.685
Te 3.546 2.507 1.448
S 2.901 -2.006 7.192
Mg 8.274 9.193 1.448
S 7.628 3.889 3.931
Te 1.182 4.179 10.133
Te 0.000 0.000 0.000
S 6.597 6.110 1.807
S -1.240 -4.182 8.054
```

The uncorrected formation energy comes out at -0.0603 eV per atom. The size of the total moment comes out at 0.00 μB per cell. For the total energy, the calculation gives -284.91 eV/cell. As for the symmetry: Ia-3d, No. 230. The calculation puts the density of states at the Fermi level at 5.13 states/eV/f.u.


(7)
The following is a DFT calculation (PBE) of crystalline Tb2RhO at its relaxed geometry.

Geometry as extended XYZ:
```
4
Lattice="-0.104 -2.680 1.675 3.103 0.232 0.564 -1.310 3.628 5.722" Properties=species:S:1:pos:R:3 pbc="T T T"
Tb -1.010 2.795 4.409
O 1.499 -1.224 1.119
Rh 0.844 0.590 3.981
Tb -0.301 0.833 1.314
```

The uncorrected formation energy comes out at -1.3536 eV per atom. The size of the total moment comes out at 0.00 μB per cell. For the total energy, the calculation gives -26.98 eV/cell. As for the symmetry: P4/mmm, No. 123. The calculation puts the density of states at the Fermi level at 2.83 states/eV/f.u.


(8)
The following is a DFT calculation (PBE) of crystalline RbZnAgAs at its relaxed geometry.

Geometry as extended XYZ:
```
8
Lattice="-1.810 2.903 -2.171 -3.489 -2.053 0.164 -3.261 6.449 11.342" Properties=species:S:1:pos:R:3 pbc="T T T"
Ag -3.860 4.888 4.084
Rb -3.733 4.975 7.875
As -6.854 6.333 8.511
Zn -3.069 -0.814 -0.420
Rb -4.827 2.324 1.460
Ag -4.700 2.411 5.251
As -1.706 0.966 0.824
Zn -2.230 1.664 -1.587
```

The size of the total moment comes out at 0.00 μB per cell. For the total energy, the calculation gives -21.12 eV/cell. The formation energy from the elements comes out at -4.7 kcal/mol of atoms. As for the symmetry: P4/nmm, No. 129. The calculation puts the density of states at the Fermi level at 0.43 states/eV/f.u.